Crystalline LiW2ClO at its relaxed geometry, computed with GGA+U.

Geometry as CIF:
```
data_LiW2ClO
_symmetry_space_group_name_H-M 'P 4/m m m'
_symmetry_Int_Tables_number 123
_symmetry_space_group_name_Hall '-P 4 2'
_cell_length_a 5.261
_cell_length_b 5.261
_cell_length_c 4.109
_cell_angle_alpha 90.00
_cell_angle_beta 90.00
_cell_angle_gamma 90.00
loop_
_atom_site_label
_atom_site_type_symbol
_atom_site_fract_x
_atom_site_fract_y
_atom_site_fract_z
_atom_site_occupancy
Li1 Li 0.000 0.000 0.000 1
W1 W 0.000 0.500 0.500 1
Cl1 Cl 0.000 0.000 0.500 1
O1 O 0.500 0.500 0.000 1
```

Summary:
Electronic total energy ... -3.19 eV per atom
Fermi-level density of states ... 0.36 states/eV per atom